A plane-wave DFT calculation with PBE was carried out for a relaxed structure of AlTl6Se4.

## Properties
formation energy (no corrections)	-4.70	eV/f.u.
SG	P6_3mc

The structure in POSCAR format:
```
AlTl6Se4
1.0
7.6433 0.0000 0.0000
0.0000 8.9363 -5.1594
0.0000 0.0000 10.3187
Al Tl Se
2 12 8
direct
0.7412 0.3333 0.6667
0.2412 0.6667 0.3333
0.4555 0.7304 0.8652
0.4555 0.1348 0.2696
0.4555 0.1348 0.8652
0.9555 0.2696 0.1348
0.9555 0.8652 0.7304
0.9555 0.8652 0.1348
0.6425 0.9428 0.4714
0.6425 0.5286 0.0572
0.6425 0.5286 0.4714
0.1425 0.0572 0.5286
0.1425 0.4714 0.9428
0.1425 0.4714 0.5286
0.4244 0.3333 0.6667
0.9244 0.6667 0.3333
0.8442 0.5915 0.7957
0.8442 0.2043 0.4085
0.8442 0.2043 0.7957
0.3442 0.4085 0.2043
0.3442 0.7957 0.5915
0.3442 0.7957 0.2043
```

A plane-wave DFT calculation with PBE was carried out for a relaxed structure of Re2RhPb.

## Properties
SG	I-4m2
energy of formation	660	meV per atom

The structure in POSCAR format:
```
Re2RhPb
1.0
-2.0716 2.0716 3.8691
2.0716 -2.0716 3.8691
2.0716 2.0716 -3.8691
Re Rh Pb
2 1 1
direct
0.0000 0.0000 0.0000
0.2500 0.7500 0.5000
0.5000 0.5000 0.0000
0.7500 0.2500 0.5000
```

A plane-wave DFT calculation with PBE was carried out for a relaxed structure of Pr3AlFe.

## Properties
SG	Pm-3m
energy of formation	118	meV per atom

The structure in POSCAR format:
```
Pr3AlFe
1.0
-4.4702 0.2465 2.7221
1.1151 -4.5997 2.2478
2.4954 2.4970 3.8718
Pr Fe Al
3 1 1
direct
0.0000 0.5000 0.0000
0.0000 0.0000 0.5000
0.5000 0.0000 0.0000
0.0000 0.0000 0.0000
0.5000 0.5000 0.5000
```

A plane-wave DFT calculation with PBE was carried out for a relaxed structure of LaGaBr6.

## Properties
formation energy (no corrections)	-10.14	eV/f.u.
SG	C2/m

The structure in POSCAR format:
```
LaGaBr6
1.0
-5.9109 3.4252 -0.8410
-3.7546 -3.6511 -4.5183
-4.5315 -5.1957 2.6698
La Ga Br
1 1 6
direct
0.0000 0.0000 0.0000
0.5000 0.5000 0.0000
0.7163 0.4277 0.7176
0.7163 0.1453 0.2824
0.2837 0.8547 0.7176
0.2837 0.5723 0.2824
0.7373 0.7399 0.0000
0.2627 0.2601 0.0000
```

A plane-wave DFT calculation with PBE was carried out for a relaxed structure of Tb4Ge2Se.

## Properties
formation energy (no corrections)	-7.37	eV/f.u.
SG	I-42d

The structure in POSCAR format:
```
Tb4Ge2Se
1.0
-6.8054 -3.3627 0.8464
1.6456 0.6216 -7.4325
5.3369 -4.2266 3.4626
Ge Tb Se
4 8 2
direct
0.8750 0.1217 0.4967
0.5033 0.3783 0.6250
0.3750 0.8783 0.7533
0.2467 0.6217 0.1250
0.1262 0.8860 0.3809
0.6191 0.7454 0.5051
0.9903 0.6140 0.7449
0.2551 0.2454 0.8691
0.6238 0.7546 0.0097
0.7597 0.2546 0.8738
0.4949 0.1140 0.2403
0.1309 0.3860 0.3762
0.0000 0.0000 0.0000
0.7500 0.5000 0.2500
```

A plane-wave DFT calculation with PBE was carried out for a relaxed structure of Ba2DyCl2O2.

## Properties
formation energy (no corrections)	-17.66	eV/f.u.
SG	I4/mmm

The structure in POSCAR format:
```
Ba2DyCl2O2
1.0
-2.1671 1.1926 -3.7944
-3.3691 -2.8471 1.0294
-0.9774 6.7002 5.3676
Ba Dy Cl O
2 1 2 2
direct
0.3830 0.3830 0.7660
0.6170 0.6170 0.2340
0.0000 0.0000 0.0000
0.1780 0.1780 0.3560
0.8220 0.8220 0.6440
0.0000 0.5000 0.0000
0.5000 0.0000 0.0000
```

| no. | E (eV per atom) | density (g/cm³) |
| --- | --- | --- |
| 1 | -3.325 | 7.4 |
| 2 | -8.329 | 17.1 |
| 3 | -5.191 | 5.8 |
| 4 | -3.517 | 3.8 |
| 5 | -5.516 | 8.3 |
| 6 | -5.674 | 5.4 |